Entry 1:
An optimized crystal structure of CaPuSb2. Source: the Alexandria database, functional PBE.

Cell: 4.5229 4.5229 21.8538 Å, 90.00 90.00 120.00°
Space group R3m (No. 160, hexagonal axes)
Symmetry-distinct sites (fractional):
Ca 0.0000 0.0000 0.0000 (multiplicity 3)
Pu 0.0000 0.0000 0.1718 (multiplicity 3)
Sb 0.0000 0.0000 0.5811 (multiplicity 3)
Sb 0.0000 0.0000 0.7593 (multiplicity 3)

## Properties
calculated total energy	-81.60	eV for the cell shown
DOS at the Fermi energy	3.754	states/eV/atom

***

Entry 2:
An optimized crystal structure of CaPuSb2. Source: the Alexandria database, functional PBE.

Cell: 4.4833 4.4833 6.2566 Å, 90.00 90.00 90.00°
Space group P4/mmm (No. 123)
Symmetry-distinct sites (fractional):
Ca 0.0000 0.0000 0.0000 (multiplicity 1)
Pu 0.5000 0.5000 0.5000 (multiplicity 1)
Sb 0.0000 0.0000 0.5000 (multiplicity 1)
Sb 0.5000 0.5000 0.0000 (multiplicity 1)

## Properties
calculated total energy	-27.21	eV for the cell shown
DOS at the Fermi energy	3.574	states/eV/atom

***

Entry 3:
An optimized crystal structure of CaPuSb2. Source: the Alexandria database, functional PBE.

Cell: 4.5141 4.5141 21.5731 Å, 90.00 90.00 120.00°
Space group R-3m (No. 166, hexagonal axes)
Symmetry-distinct sites (fractional):
Ca 0.0000 0.0000 0.0000 (multiplicity 3)
Pu 0.0000 0.0000 0.5000 (multiplicity 3)
Sb 0.0000 0.0000 0.2444 (multiplicity 6)

## Properties
calculated total energy	-82.11	eV for the cell shown
DOS at the Fermi energy	3.758	states/eV/atom

***

Entry 4:
An optimized crystal structure of CaPuSb. Source: the Alexandria database, functional PBE.

Cell: 7.4217 7.4217 7.4217 Å, 90.00 90.00 90.00°
Space group F-43m (No. 216)
Symmetry-distinct sites (fractional):
Ca 0.0000 0.0000 0.0000 (multiplicity 4)
Pu 0.0000 0.0000 0.5000 (multiplicity 4)
Sb 0.2500 0.2500 0.7500 (multiplicity 4)

## Properties
calculated total energy	-86.42	eV for the cell shown
DOS at the Fermi energy	3.349	states/eV/atom

***

Entry 5:
An optimized crystal structure of Ca5PuSb5. Source: the Alexandria database, functional PBE.

Cell: 14.6476 6.2453 9.0044 Å, 90.00 108.37 90.00°
Space group C2/m (No. 12)
Symmetry-distinct sites (fractional):
Ca 0.0000 0.0000 0.0000 (multiplicity 2)
Ca 0.1818 0.5000 0.3589 (multiplicity 4)
Ca 0.1872 0.5000 0.8246 (multiplicity 4)
Pu 0.0000 0.0000 0.5000 (multiplicity 2)
Sb 0.0000 0.5000 0.5000 (multiplicity 2)
Sb 0.1488 0.0000 0.3256 (multiplicity 4)
Sb 0.1596 0.0000 0.8275 (multiplicity 4)

## Properties
calculated total energy	-106.87	eV for the cell shown
DOS at the Fermi energy	1.383	states/eV/atom

***

Entry 6:
An optimized crystal structure of CaPuSb. Source: the Alexandria database, functional PBE.

Cell: 5.4511 5.4511 6.7210 Å, 90.00 90.00 120.00°
Space group P6_3/mmc (No. 194)
Symmetry-distinct sites (fractional):
Ca 0.0000 0.0000 0.0000 (multiplicity 2)
Pu 0.3333 0.6667 0.2500 (multiplicity 2)
Sb 0.3333 0.6667 0.7500 (multiplicity 2)

## Properties
calculated total energy	-43.68	eV for the cell shown
DOS at the Fermi energy	4.352	states/eV/atom

***

Entry 7:
An optimized crystal structure of CaPu3Sb4. Source: the Alexandria database, functional PBE.

Cell: 7.6964 8.8984 7.7206 Å, 90.00 109.53 90.00°
Space group P2/c (No. 13)
Symmetry-distinct sites (fractional):
Ca 0.0000 0.1249 0.2500 (multiplicity 2)
Pu 0.0000 0.3738 0.7500 (multiplicity 2)
Pu 0.5000 0.1246 0.7500 (multiplicity 2)
Pu 0.5000 0.3742 0.2500 (multiplicity 2)
Sb 0.2521 0.3796 0.5046 (multiplicity 4)
Sb 0.2595 0.1290 0.9988 (multiplicity 4)

## Properties
calculated total energy	-133.21	eV for the cell shown
DOS at the Fermi energy	5.485	states/eV/atom

***

Entry 8:
An optimized crystal structure of CaPuSb2. Source: the Alexandria database, functional PBE.

Cell: 6.2940 6.2940 12.7414 Å, 90.00 90.00 90.00°
Space group I4_1/amd (No. 141, origin choice 2)
Symmetry-distinct sites (fractional):
Ca 0.0000 0.2500 0.3750 (multiplicity 4)
Pu 0.0000 0.2500 0.8750 (multiplicity 4)
Sb 0.0000 0.2500 0.1155 (multiplicity 8)

## Properties
calculated total energy	-109.33	eV for the cell shown
DOS at the Fermi energy	3.867	states/eV/atom

***

Question: The highest DOS at the Fermi energy belongs to which entry?
Answer: CaPu3Sb4

***

Question: Which formula does entry 7 have?
Answer: CaPu3Sb4

***

Question: Which of these has the highest DOS at the Fermi energy?
Answer: CaPu3Sb4

***

Question: Which formula does entry 2 have?
Answer: CaPuSb2